No. 1
The following is a GGA-PBE calculation of AcDy2Ho7 after structural relaxation, from Alexandria via LeMat-Bulk.

Values from the calculation:
Total energy, eV/atom: -4.499
Excess energy over the best structure of this formula in the dataset, eV/atom: 0.0000
ΔE_f, meV/atom: 37.0

Lattice parameters (Å, degrees): 6.1764 7.9917 9.4464 120.44 90.09 58.86
Atoms (fractional coordinates):
Ho: 0.5000 0.5000 0.0000
Ho: 0.8995 0.9001 0.5965
Dy: 0.4036 0.3943 0.5966
Ho: 0.7971 0.7986 0.2025
Ho: 0.2029 0.2014 0.7975
Ac: 0.0000 0.0000 0.0000
Ho: 0.1005 0.0999 0.4035
Ho: 0.7053 0.6937 0.7954
Ho: 0.2947 0.3063 0.2046
Dy: 0.5964 0.6057 0.4034



No. 2
The following is a GGA-PBE calculation of KInRh after structural relaxation, from Alexandria via LeMat-Bulk.

Values from the calculation:
Total energy, eV/atom: -3.615
ΔE_f, meV/atom: 114.3

Lattice parameters (Å, degrees): 4.4954 4.4954 5.2408 90.00 90.00 120.00
Atoms (fractional coordinates):
In: 0.0000 0.0000 0.8340
K: 0.6667 0.3333 0.3333
Rh: 0.3333 0.6667 0.8328



No. 3
The following is a GGA-PBE calculation of BeAsIrSe2 after structural relaxation, from Alexandria via LeMat-Bulk.

Values from the calculation:
Formation energy without anion corrections, meV/atom: 931
Total energy, eV/atom: -3.910
Excess energy over the best structure of this formula in the dataset, eV/atom: 0.1540

Lattice parameters (Å, degrees): 5.1116 5.1116 4.5538 90.00 90.00 90.00
Atoms (fractional coordinates):
Se: 0.0000 0.5000 0.0000
Se: 0.5000 0.0000 0.0000
Ir: 0.0000 0.0000 0.0000
As: 0.0000 0.0000 0.5000
Be: 0.5000 0.5000 0.5000